First-principles (PBE) data for a relaxed structure of GaCoIrAu, as listed in OQMD via LeMat-Bulk.

Values from the calculation:
- magnetic moment (μB per cell) = 1.5
- energy above the most stable polymorph in this dataset (meV/atom) = 0

Cell lengths 4.363, 4.363, 4.363 Å; angles 60.00, 60.00, 60.00 degrees
Element x y z (fractional)
Ga (0.000, 0.000, 0.000)
Co (0.250, 0.250, 0.250)
Ir (0.750, 0.750, 0.750)
Au (0.500, 0.500, 0.500)



First-principles (PBE) data for a relaxed structure of MgZnTeO, as listed in OQMD via LeMat-Bulk.

Values from the calculation:
- energy above the most stable polymorph in this dataset (meV/atom) = 431

Cell lengths 4.006, 4.006, 9.353 Å; angles 90.00, 90.00, 90.00 degrees
Element x y z (fractional)
Mg (0.250, 0.250, 0.201)
Mg (0.750, 0.750, 0.799)
Zn (0.250, 0.250, 0.556)
Zn (0.750, 0.750, 0.444)
Te (0.250, 0.250, 0.852)
Te (0.750, 0.750, 0.148)
O (0.250, 0.750, 0.500)
O (0.750, 0.250, 0.500)



First-principles (PBE) data for a relaxed structure of LuFeCuPb, as listed in OQMD via LeMat-Bulk.

Values from the calculation:
- magnetic moment (μB per cell) = 1.9
- energy above the most stable polymorph in this dataset (meV/atom) = 0

Cell lengths 4.691, 4.691, 4.691 Å; angles 60.00, 60.00, 60.00 degrees
Element x y z (fractional)
Lu (0.000, 0.000, 0.000)
Fe (0.250, 0.250, 0.250)
Cu (0.750, 0.750, 0.750)
Pb (0.500, 0.500, 0.500)



First-principles (PBE) data for a relaxed structure of SmBOs, as listed in OQMD via LeMat-Bulk.

Values from the calculation:
- magnetic moment (μB per cell) = 0.0
- energy above the most stable polymorph in this dataset (meV/atom) = 1367

Cell lengths 4.465, 4.465, 4.465 Å; angles 60.00, 60.00, 60.00 degrees
Element x y z (fractional)
Sm (0.000, 0.000, 0.000)
B (0.750, 0.750, 0.750)
Os (0.250, 0.250, 0.250)



First-principles (PBE) data for a relaxed structure of Pm2Ho2B, as listed in OQMD via LeMat-Bulk.

Values from the calculation:
- magnetic moment (μB per cell) = 0.7
- total DFT energy (no corrections) (eV per atom) = -5.00

Cell lengths 3.680, 3.680, 12.239 Å; angles 90.00, 90.00, 120.00 degrees
Element x y z (fractional)
Pm (0.333, 0.667, 0.114)
Pm (0.667, 0.333, 0.886)
Ho (0.333, 0.667, 0.618)
Ho (0.667, 0.333, 0.382)
B (0.000, 0.000, 0.500)



First-principles (PBE) data for a relaxed structure of GdDyCu2B2N2, as listed in OQMD via LeMat-Bulk.

Values from the calculation:
- magnetic moment (μB per cell) = 0.0
- total DFT energy (no corrections) (eV per atom) = -6.72

Cell lengths 3.522, 3.522, 7.709 Å; angles 90.00, 90.00, 90.00 degrees
Element x y z (fractional)
Gd (0.000, 0.000, 0.000)
Dy (0.500, 0.500, 0.669)
Cu (0.000, 0.500, 0.334)
Cu (0.500, 0.000, 0.334)
B (0.000, 0.000, 0.507)
B (0.500, 0.500, 0.160)
N (0.000, 0.000, 0.694)
N (0.500, 0.500, 0.972)



First-principles (PBE) data for a relaxed structure of TaZnCoPb, as listed in OQMD via LeMat-Bulk.

Values from the calculation:
- magnetic moment (μB per cell) = 0.0
- energy above the most stable polymorph in this dataset (meV/atom) = 0

Cell lengths 4.571, 4.571, 4.571 Å; angles 60.00, 60.00, 60.00 degrees
Element x y z (fractional)
Ta (0.000, 0.000, 0.000)
Zn (0.250, 0.250, 0.250)
Co (0.750, 0.750, 0.750)
Pb (0.500, 0.500, 0.500)



First-principles (PBE) data for a relaxed structure of SmTaTe, as listed in OQMD via LeMat-Bulk.

Values from the calculation:
- magnetic moment (μB per cell) = 3.0
- energy above the most stable polymorph in this dataset (meV/atom) = 570

Cell lengths 5.100, 5.100, 5.100 Å; angles 60.00, 60.00, 60.00 degrees
Element x y z (fractional)
Sm (0.000, 0.000, 0.000)
Ta (0.750, 0.750, 0.750)
Te (0.250, 0.250, 0.250)